This record from Alexandria via LeMat-Bulk describes SmThZr after structural relaxation. The functional is PBE.

Calculated values
* magnetic moment: 0.00 μB/f.u.
* SG: P3m1, No. 156
* VASP energy: -6.777 eV/atom
* ΔE to the lowest computed polymorph: 4 meV/atom
* ΔE_f: 0.119 eV/atom

Unit cell a=3.4727 b=3.4727 c=8.3580 alpha=90.00 beta=90.00 gamma=120.00
Closest atoms and distances in Å follow each position.
Fractional positions:
1 Sm 0.0000 0.0000 0.0049  3 Zr 3.44, 6 Sm 3.47, 3 Th 3.55
2 Th 0.3333 0.6667 0.6550  3 Zr 3.31, 6 Th 3.47, 3 Sm 3.55
3 Zr 0.6667 0.3333 0.3401  3 Th 3.31, 3 Sm 3.44, 6 Zr 3.47